Compound: La2Si2Te
Source: the Alexandria database
Functional: PBE
Structure: optimized geometry

Properties
E above lowest polymorph, eV/f.u.: 1.48
Energy, eV/atom: -5.275
Formation energy from raw total energies, meV per atom: -506

Unit cell a=5.799 b=5.799 c=8.490 alpha=90.00 beta=90.00 gamma=90.00
Positions (direct):
La 0.000 0.500 0.250
La 0.000 0.500 0.750
La 0.500 0.000 0.250
La 0.500 0.000 0.750
Si 0.000 0.000 0.139
Si 0.000 0.000 0.861
Si 0.500 0.500 0.361
Si 0.500 0.500 0.639
Te 0.000 0.000 0.500
Te 0.500 0.500 0.000

Compound: Ca3Dy3ScS8
Source: the Alexandria database
Functional: PBE
Structure: optimized geometry

Properties
Energy, eV/atom: -6.018
Formation energy from raw total energies, meV per atom: -2074

Unit cell a=7.945 b=7.945 c=7.945 alpha=58.91 beta=58.91 gamma=58.91
Positions (direct):
Ca 0.000 0.500 0.500
Ca 0.500 0.000 0.500
Ca 0.500 0.500 0.000
Dy 0.000 0.000 0.500
Dy 0.000 0.500 0.000
Dy 0.500 0.000 0.000
Sc 0.500 0.500 0.500
S 0.248 0.248 0.248
S 0.256 0.738 0.738
S 0.262 0.262 0.744
S 0.262 0.744 0.262
S 0.738 0.256 0.738
S 0.738 0.738 0.256
S 0.744 0.262 0.262
S 0.752 0.752 0.752

Compound: LiCaTlMo2
Source: the Alexandria database
Functional: PBE
Structure: optimized geometry

Properties
Energy, eV/atom: -3.510
Formation energy, eV per formula unit: 10.4

Unit cell a=4.755 b=4.755 c=5.634 alpha=90.00 beta=90.00 gamma=90.00
Positions (direct):
Li 0.000 0.000 0.000
Ca 0.500 0.500 0.500
Tl 0.500 0.500 0.000
Mo 0.000 0.500 0.500
Mo 0.500 0.000 0.500

Compound: CaMgCu2Pt
Source: the Alexandria database
Functional: PBE
Structure: optimized geometry

Properties
Energy, eV/atom: -2.159
Formation energy, eV per formula unit: 7.0

Unit cell a=4.658 b=4.658 c=5.457 alpha=90.00 beta=90.00 gamma=90.00
Positions (direct):
Ca 0.000 0.000 0.000
Mg 0.000 0.000 0.500
Cu 0.000 0.500 0.000
Cu 0.500 0.000 0.000
Pt 0.500 0.500 0.500

Compound: Na2PmSeO5
Source: the Alexandria database
Functional: PBE
Structure: optimized geometry

Properties
Energy, eV/atom: -5.450
Formation energy from raw total energies, meV per atom: -1488

Unit cell a=7.038 b=7.038 c=7.038 alpha=120.49 beta=120.49 gamma=89.15
Positions (direct):
Na 0.183 0.683 0.867
Na 0.317 0.183 0.500
Na 0.683 0.817 0.500
Na 0.817 0.317 0.133
Pm 0.250 0.250 0.000
Pm 0.750 0.750 0.000
Se 0.250 0.750 0.500
Se 0.750 0.250 0.500
O 0.000 0.000 0.000
O 0.003 0.812 0.500
O 0.188 0.688 0.191
O 0.312 0.503 0.500
O 0.497 0.997 0.809
O 0.500 0.500 0.000
O 0.503 0.003 0.191
O 0.688 0.497 0.500
O 0.812 0.312 0.809
O 0.997 0.188 0.500

Compound: La3Ir
Source: the Alexandria database
Functional: PBE
Structure: optimized geometry

Properties
Energy, eV/atom: -6.272
Formation energy, eV per formula unit: -1.4

Unit cell a=4.077 b=4.077 c=29.147 alpha=90.00 beta=90.00 gamma=120.00
Positions (direct):
La 0.000 0.000 0.000
La 0.000 0.000 0.222
La 0.000 0.000 0.778
La 0.333 0.667 0.444
La 0.333 0.667 0.667
La 0.333 0.667 0.889
La 0.667 0.333 0.111
La 0.667 0.333 0.333
La 0.667 0.333 0.556
Ir 0.000 0.000 0.500
Ir 0.333 0.667 0.167
Ir 0.667 0.333 0.833

Compound: CsOsPtO6
Source: the Alexandria database
Functional: PBE
Structure: optimized geometry

Properties
Energy, eV/atom: -6.297
Formation energy from raw total energies, meV per atom: -977

Unit cell a=7.266 b=7.266 c=7.266 alpha=120.48 beta=119.28 gamma=90.21
Positions (direct):
Cs 0.381 0.131 0.250
Cs 0.619 0.869 0.750
Os 0.000 0.500 0.500
Os 0.500 0.500 0.000
Pt 0.000 0.000 0.500
Pt 0.000 0.500 0.000
O 0.082 0.439 0.269
O 0.082 0.813 0.643
O 0.082 0.832 0.250
O 0.298 0.548 0.750
O 0.330 0.187 0.769
O 0.330 0.561 0.143
O 0.670 0.439 0.857
O 0.670 0.813 0.231
O 0.702 0.452 0.250
O 0.918 0.168 0.750
O 0.918 0.187 0.357
O 0.918 0.561 0.731

Compound: PI2NF
Source: the Alexandria database
Functional: PBE
Structure: optimized geometry

Properties
E above lowest polymorph, eV/f.u.: 0.00
Energy, eV/atom: -3.377
Formation energy from raw total energies, meV per atom: 365

Unit cell a=5.865 b=5.865 c=3.199 alpha=90.00 beta=90.00 gamma=90.00
Positions (direct):
P 0.000 0.000 0.000
I 0.000 0.500 0.000
I 0.500 0.000 0.000
N 0.000 0.000 0.500
F 0.500 0.500 0.500

Compound: TbDyMgCu
Source: the Alexandria database
Functional: PBE
Structure: optimized geometry

Properties
Energy, eV/atom: -3.794
Formation energy, eV per formula unit: -0.3

Unit cell a=7.259 b=7.259 c=7.259 alpha=90.00 beta=90.00 gamma=90.00
Positions (direct):
Tb 0.000 0.000 0.000
Tb 0.000 0.500 0.500
Tb 0.500 0.000 0.500
Tb 0.500 0.500 0.000
Dy 0.000 0.000 0.500
Dy 0.000 0.500 0.000
Dy 0.500 0.000 0.000
Dy 0.500 0.500 0.500
Mg 0.250 0.250 0.750
Mg 0.250 0.750 0.250
Mg 0.750 0.250 0.250
Mg 0.750 0.750 0.750
Cu 0.250 0.250 0.250
Cu 0.250 0.750 0.750
Cu 0.750 0.250 0.750
Cu 0.750 0.750 0.250

Compound: K2Bi5Pt3
Source: the Alexandria database
Functional: PBE
Structure: optimized geometry

Properties
E above lowest polymorph, eV/f.u.: 0.02
Energy, eV/atom: -4.257
Formation energy, eV per formula unit: -2.8

Unit cell a=14.612 b=14.612 c=7.824 alpha=90.00 beta=90.00 gamma=161.29
Positions (direct):
K 0.022 0.978 0.500
K 0.325 0.675 0.481
K 0.675 0.325 0.981
K 0.978 0.022 0.000
Bi 0.097 0.903 0.123
Bi 0.204 0.796 0.684
Bi 0.211 0.789 0.266
Bi 0.380 0.620 0.012
Bi 0.452 0.548 0.337
Bi 0.548 0.452 0.837
Bi 0.620 0.380 0.512
Bi 0.789 0.211 0.766
Bi 0.796 0.204 0.184
Bi 0.903 0.097 0.623
Pt 0.105 0.895 0.760
Pt 0.276 0.724 0.973
Pt 0.444 0.556 0.712
Pt 0.556 0.444 0.212
Pt 0.724 0.276 0.473
Pt 0.895 0.105 0.260

Compound: Ti2AlCdH
Source: the Alexandria database
Functional: PBE
Structure: optimized geometry

Properties
E above lowest polymorph, eV/f.u.: 0.00
Energy, eV/atom: -4.924

Unit cell a=3.995 b=3.995 c=4.477 alpha=90.00 beta=90.00 gamma=90.00
Positions (direct):
Ti 0.000 0.500 0.000
Ti 0.500 0.000 0.000
Al 0.000 0.000 0.500
Cd 0.500 0.500 0.500
H 0.500 0.500 0.000

Compound: CsSc
Source: the Alexandria database
Functional: PBE
Structure: optimized geometry

Properties
Energy, eV/atom: -2.698
Formation energy, eV per formula unit: 1.8

Unit cell a=12.666 b=12.666 c=3.458 alpha=90.00 beta=90.00 gamma=120.00
Positions (direct):
Cs 0.154 0.307 0.250
Cs 0.154 0.846 0.250
Cs 0.307 0.154 0.750
Cs 0.693 0.846 0.250
Cs 0.846 0.154 0.750
Cs 0.846 0.693 0.750
Sc 0.126 0.563 0.250
Sc 0.437 0.563 0.250
Sc 0.437 0.874 0.250
Sc 0.563 0.126 0.750
Sc 0.563 0.437 0.750
Sc 0.874 0.437 0.750

> Which value of energy does entry 2 give?

-6.018 eV/atom